a.
Below is a relaxed structure of Ho4Mg3Zn, with properties calculated at the PBE level.

Properties
Magnetic moment = 0.00 μB/f.u.

abc: 3.6620 3.6620 15.3662
angles: 90.00 90.00 90.00
With the nearest neighbours (Å) after each atom.
Space group P4/mmm (No. 123)
Unique sites:
Ho 0.0000 0.0000 0.1105 (multiplicity 2)  4 Zn 3.10, 4 Mg 3.29, 1 Ho 3.40
Ho 0.0000 0.0000 0.3701 (multiplicity 2)  8 Mg 3.25-3.27
Mg 0.5000 0.5000 0.2422 (multiplicity 2)  8 Ho 3.25-3.29
Mg 0.5000 0.5000 0.5000 (multiplicity 1)  8 Ho 3.27, 4 Mg 3.66
Zn 0.5000 0.5000 0.0000 (multiplicity 1)  8 Ho 3.10

b.
Below is a relaxed structure of Ho4Mg3Zn, with properties calculated at the PBE level.

Properties
Magnetic moment = 0.00 μB/f.u.

abc: 3.3857 4.9707 12.3969
angles: 90.00 90.00 90.00
With the nearest neighbours (Å) after each atom.
Space group Pmm2 (No. 25)
Unique sites:
Ho 0.0000 0.0000 0.0000 (multiplicity 1)  5 Mg 3.26-3.40, 2 Zn 3.29, 6 Ho 3.39-3.63
Ho 0.0000 0.5000 0.3237 (multiplicity 1)  4 Zn 3.23, 3 Mg 3.24-3.33, 6 Ho 3.39-3.57
Ho 0.5000 0.0000 0.4794 (multiplicity 1)  1 Zn 3.12, 6 Mg 3.32-3.49, 2 Ho 3.39
Ho 0.5000 0.5000 0.8365 (multiplicity 1)  7 Mg 3.27-3.47, 6 Ho 3.39-3.63
Mg 0.0000 0.0000 0.7254 (multiplicity 1)  2 Mg 2.98, 4 Ho 3.31
Mg 0.0000 0.5000 0.5925 (multiplicity 1)  2 Mg 2.98, 5 Ho 3.32-3.33
Mg 0.5000 0.5000 0.1006 (multiplicity 1)  2 Zn 2.94, 7 Ho 3.24-3.27
Zn 0.5000 0.0000 0.2280 (multiplicity 1)  2 Mg 2.94, 7 Ho 3.12-3.29

The most stable of them is a.

a.
Below is a relaxed structure of Ho2MgZr, with properties calculated at the PBE level.

Properties
Magnetic moment = 0.00 μB/f.u.

abc: 4.7446 4.7446 4.6776
angles: 90.00 90.00 90.00
With the nearest neighbours (Å) after each atom.
Space group P4/mmm (No. 123)
Unique sites:
Ho 0.0000 0.5000 0.0000 (multiplicity 2)  4 Zr 3.33, 4 Mg 3.33, 4 Ho 3.35
Mg 0.0000 0.0000 0.5000 (multiplicity 1)  8 Ho 3.33, 4 Zr 3.35
Zr 0.5000 0.5000 0.5000 (multiplicity 1)  8 Ho 3.33, 4 Mg 3.35

b.
Below is a relaxed structure of Ho2MgZr, with properties calculated at the PBE level.

Properties
Magnetic moment = 0.00 μB/f.u.

abc: 3.3708 3.3708 33.1796
angles: 90.00 90.00 120.00
With the nearest neighbours (Å) after each atom.
Space group R3m (No. 160, hexagonal axes)
Unique sites:
Ho 0.0000 0.0000 0.0000 (multiplicity 3)  3 Zr 3.28, 6 Ho 3.37, 3 Mg 3.48
Ho 0.0000 0.0000 0.1740 (multiplicity 3)  3 Zr 3.28, 6 Ho 3.37, 3 Mg 3.48
Mg 0.0000 0.0000 0.7537 (multiplicity 3)  6 Mg 3.37, 6 Ho 3.48
Zr 0.0000 0.0000 0.5869 (multiplicity 3)  6 Ho 3.28, 6 Zr 3.37

c.
Below is a relaxed structure of Ho2MgZr, with properties calculated at the PBE level.

Properties
Magnetic moment = 0.00 μB/f.u.

abc: 3.3811 3.3811 32.9918
angles: 90.00 90.00 120.00
With the nearest neighbours (Å) after each atom.
Space group R-3m (No. 166, hexagonal axes)
Unique sites:
Ho 0.0000 0.0000 0.2469 (multiplicity 6)  3 Zr 3.29, 6 Ho 3.38, 3 Mg 3.46
Mg 0.0000 0.0000 0.0000 (multiplicity 3)  6 Mg 3.38, 6 Ho 3.46
Zr 0.0000 0.0000 0.5000 (multiplicity 3)  6 Ho 3.29, 6 Zr 3.38

d.
Below is a relaxed structure of Ho2MgZr, with properties calculated at the PBE level.

Properties
Magnetic moment = 0.00 μB/f.u.

abc: 3.4149 3.4149 9.2700
angles: 90.00 90.00 90.00
With the nearest neighbours (Å) after each atom.
Space group P4/mmm (No. 123)
Unique sites:
Ho 0.0000 0.0000 0.2445 (multiplicity 2)  4 Zr 3.31, 4 Mg 3.38, 4 Ho 3.41
Mg 0.5000 0.5000 0.5000 (multiplicity 1)  8 Ho 3.38, 4 Mg 3.41
Zr 0.5000 0.5000 0.0000 (multiplicity 1)  8 Ho 3.31, 4 Zr 3.41

The most stable of them is d.